[1]
{
  "formula": "InBi3Te4",
  "functional": "GGA-PBE",
  "state": "relaxed",
  "cell": [[6.518, 0.000, 0.000], [0.000, 12.759, 0.000], [0.000, 0.000, 6.534]],
  "species": ["In", "In", "Bi", "Bi", "Bi", "Bi", "Bi", "Bi", "Te", "Te", "Te", "Te", "Te", "Te", "Te", "Te"],
  "fractional_positions": [[0.250, 0.250, 0.242], [0.750, 0.750, 0.758], [0.250, 0.000, 0.754], [0.250, 0.500, 0.754], [0.250, 0.750, 0.260], [0.750, 0.000, 0.246], [0.750, 0.250, 0.740], [0.750, 0.500, 0.246], [0.250, 0.250, 0.743], [0.250, 0.505, 0.260], [0.250, 0.750, 0.770], [0.250, 0.995, 0.260], [0.750, 0.005, 0.740], [0.750, 0.250, 0.230], [0.750, 0.495, 0.740], [0.750, 0.750, 0.257]],
  "dos_at_fermi_per_ev_atom": 0.429,
  "magmom_total_mub_per_atom": 0.000
}

=====

[2]
{
  "formula": "In2BiTe",
  "functional": "GGA-PBE",
  "state": "relaxed",
  "cell": [[-3.461, 3.461, 7.009], [3.461, -3.461, 7.009], [3.461, 3.461, -7.009]],
  "species": ["In", "In", "In", "In", "Bi", "Bi", "Te", "Te"],
  "fractional_positions": [[0.122, 0.625, 0.997], [0.375, 0.372, 0.497], [0.628, 0.125, 0.003], [0.875, 0.878, 0.503], [0.000, 0.000, 0.000], [0.750, 0.250, 0.500], [0.250, 0.750, 0.500], [0.500, 0.500, 0.000]],
  "dos_at_fermi_per_ev_atom": 0.411,
  "magmom_total_mub_per_atom": 0.000
}

=====

[3]
{
  "formula": "Th4InBiTe2",
  "functional": "GGA-PBE",
  "state": "relaxed",
  "cell": [[7.656, 0.000, 0.000], [0.000, 4.566, 0.000], [-2.722, 0.000, 7.495]],
  "species": ["Th", "Th", "Th", "Th", "In", "Bi", "Te", "Te"],
  "fractional_positions": [[0.244, 0.000, 0.239], [0.253, 0.500, 0.759], [0.747, 0.500, 0.241], [0.756, 0.000, 0.761], [0.500, 0.000, 0.000], [0.500, 0.500, 0.500], [0.000, 0.000, 0.500], [0.000, 0.500, 0.000]],
  "dos_at_fermi_per_ev_atom": 0.804,
  "magmom_total_mub_per_atom": 0.000
}

=====

[4]
{
  "formula": "Tl2InBiTe4",
  "functional": "GGA-PBE",
  "state": "relaxed",
  "cell": [[-4.323, 4.323, 3.787], [4.323, -4.323, 3.787], [4.323, 4.323, -3.787]],
  "species": ["Tl", "Tl", "In", "Bi", "Te", "Te", "Te", "Te"],
  "fractional_positions": [[0.000, 0.500, 0.500], [0.500, 0.000, 0.500], [0.000, 0.000, 0.000], [0.500, 0.500, 0.000], [0.045, 0.417, 0.000], [0.417, 0.045, 0.000], [0.583, 0.583, 0.628], [0.955, 0.955, 0.372]],
  "magmom_total_mub_per_atom": 0.000
}

=====

[5]
{
  "formula": "Tl3InBi2Te6",
  "functional": "GGA-PBE",
  "state": "relaxed",
  "cell": [[3.905, -6.757, 0.000], [3.905, 6.757, 0.000], [-2.610, 0.000, 8.020]],
  "species": ["Tl", "Tl", "Tl", "In", "Bi", "Bi", "Te", "Te", "Te", "Te", "Te", "Te"],
  "fractional_positions": [[0.000, 0.000, 0.000], [0.329, 0.671, 0.000], [0.671, 0.329, 0.000], [0.500, 0.500, 0.500], [0.166, 0.834, 0.500], [0.834, 0.166, 0.500], [0.108, 0.428, 0.284], [0.253, 0.253, 0.720], [0.428, 0.108, 0.284], [0.572, 0.892, 0.716], [0.747, 0.747, 0.280], [0.892, 0.572, 0.716]],
  "dos_at_fermi_per_ev_atom": 0.011,
  "magmom_total_mub_per_atom": 0.000
}

=====

[6]
{
  "formula": "TlInBiTe3",
  "functional": "GGA-PBE",
  "state": "relaxed",
  "cell": [[9.309, 0.000, 0.000], [0.000, 4.551, 0.000], [-1.818, 0.000, 10.774]],
  "species": ["Tl", "Tl", "In", "In", "Bi", "Bi", "Te", "Te", "Te", "Te", "Te", "Te"],
  "fractional_positions": [[0.190, 0.250, 0.222], [0.810, 0.750, 0.778], [0.054, 0.250, 0.631], [0.946, 0.750, 0.369], [0.335, 0.750, 0.871], [0.665, 0.250, 0.129], [0.109, 0.250, 0.903], [0.228, 0.750, 0.560], [0.438, 0.750, 0.161], [0.562, 0.250, 0.839], [0.772, 0.250, 0.440], [0.891, 0.750, 0.097]],
  "dos_at_fermi_per_ev_atom": 0.368,
  "magmom_total_mub_per_atom": 0.000
}

=====

Record-wise E values, in eV per atom: -3.53; -3.19; -6.00; -3.26; -3.34; -3.30